<A>
Material: FeIr2Os
Method: DFT, GGA-PBE
State: optimized geometry

abc: 2.7242 2.7242 7.5143
angles: 90.00 90.00 90.00
Space group P4/mmm (No. 123)
One atom of each set of equivalent atoms:
Fe: 0.0000 0.0000 0.0000 x1
Ir: 0.5000 0.5000 0.2470 x2
Os: 0.0000 0.0000 0.5000 x1

DOS(E_F) = 3.6 states/eV/cell


<B>
Material: FeIr2Os
Method: DFT, GGA-PBE
State: optimized geometry

abc: 8.9206 2.7135 4.6721
angles: 90.00 100.45 90.00
Space group Cm (No. 8)
One atom of each set of equivalent atoms:
Fe: 0.0000 0.0000 0.0000 x2
Ir: 0.2529 0.0000 0.7660 x2
Ir: 0.4988 0.0000 0.4896 x2
Os: 0.2490 0.5000 0.2536 x2

DOS(E_F) = 8.9 states/eV/cell


In terms of stability, <A> leads; the second structure lies 0.031 eV/atom higher.


<A>
Material: FeIr2Os
Method: DFT, GGA-PBE
State: optimized geometry

abc: 6.0767 6.0767 6.0767
angles: 90.00 90.00 90.00
Space group Fm-3m (No. 225)
One atom of each set of equivalent atoms:
Fe: 0.0000 0.0000 0.0000 x4
Ir: 0.2500 0.2500 0.2500 x8
Os: 0.0000 0.0000 0.5000 x4

DOS(E_F) = 43.9 states/eV/cell


<B>
Material: FeIr2Os
Method: DFT, GGA-PBE
State: optimized geometry

abc: 2.7237 3.7813 5.3861
angles: 90.00 90.00 90.00
Space group Pmmm (No. 47)
One atom of each set of equivalent atoms:
Fe: 0.0000 0.0000 0.0000 x1
Ir: 0.5000 0.5000 0.2465 x2
Os: 0.0000 0.0000 0.5000 x1

DOS(E_F) = 4.4 states/eV/cell


In terms of stability, <B> leads; the second structure lies 0.657 eV/atom higher.


<A>
Material: FeIr3Os
Method: DFT, GGA-PBE
State: optimized geometry

abc: 2.7026 8.6402 6.9420
angles: 90.00 101.20 90.00
Space group P2_1/m (No. 11)
One atom of each set of equivalent atoms:
Fe: 0.0543 0.2500 0.1077 x2
Ir: 0.1645 0.0001 0.3290 x4
Ir: 0.4020 0.2500 0.8041 x2
Os: 0.2822 0.7500 0.5644 x2

DOS(E_F) = 11.4 states/eV/cell


<B>
Material: FeIr3Os
Method: DFT, GGA-PBE
State: optimized geometry

abc: 6.0316 3.8218 6.0607
angles: 90.00 90.22 90.00
Space group P2_1/m (No. 11)
One atom of each set of equivalent atoms:
Fe: 0.2488 0.2500 0.2472 x2
Ir: 0.0461 0.2500 0.6538 x2
Ir: 0.3523 0.7500 0.5496 x2
Ir: 0.4528 0.2500 0.8529 x2
Os: 0.1449 0.7500 0.9508 x2

DOS(E_F) = 11.2 states/eV/cell


In terms of stability, <B> leads; the second structure lies 0.391 eV/atom higher.